[1]
Density functional theory data (PBE) for a relaxed structure of Li2SiP.

CIF file:
```
data_Li2SiP
_symmetry_space_group_name_H-M 'P 1'
_symmetry_Int_Tables_number 1
_symmetry_space_group_name_Hall 'P 1'
_cell_length_a 2.6177
_cell_length_b 2.6177
_cell_length_c 8.6189
_cell_angle_alpha 90.00
_cell_angle_beta 90.00
_cell_angle_gamma 90.00
loop_
_atom_site_label
_atom_site_fract_x
_atom_site_fract_y
_atom_site_fract_z
_atom_site_occupancy
Li1 0.0000 0.0000 0.9866 1
Li2 0.5000 0.5000 0.2714 1
P1 0.0000 0.0000 0.4760 1
Si1 0.5000 0.5000 0.7660 1
```

Values from the calculation:
Its final energy is -14.4 eV per formula unit. Its space-group type is P4mm. For the uncorrected formation energy, the calculation gives 0.071 eV per atom. The energy above the most stable polymorph in this dataset comes out at 352.9 meV/atom.


[2]
Density functional theory data (PBE) for a relaxed structure of Li2SiP.

CIF file:
```
data_Li2SiP
_symmetry_space_group_name_H-M 'P 1'
_symmetry_Int_Tables_number 1
_symmetry_space_group_name_Hall 'P 1'
_cell_length_a 3.3478
_cell_length_b 3.3478
_cell_length_c 5.1193
_cell_angle_alpha 90.00
_cell_angle_beta 90.00
_cell_angle_gamma 90.00
loop_
_atom_site_label
_atom_site_fract_x
_atom_site_fract_y
_atom_site_fract_z
_atom_site_occupancy
Li1 0.0000 0.0000 0.0001 1
Li2 0.5000 0.5000 0.2518 1
P1 0.0000 0.0000 0.5288 1
Si1 0.5000 0.5000 0.7194 1
```

Values from the calculation:
Its final energy is -15.4 eV per formula unit. Its space-group type is P4mm. For the uncorrected formation energy, the calculation gives -0.180 eV per atom. The energy above the most stable polymorph in this dataset comes out at 101.7 meV/atom.


Question: Which of these has the highest energy above the most stable polymorph in this dataset?
Answer: number 1


Question: Which of these has the lowest final energy?
Answer: number 2